Record 1
PrGdRh: relaxed, PBE.

Computed properties:
The value obtained for the density is 7.2 g cm⁻³. As for the space-group type: P3m1 (156). Its calculated volume is 92 Å³ per cell. For the final energy, the calculation gives -27.61 eV for the cell shown. Its crystal system is trigonal. For the energy above the most stable polymorph in this dataset, the calculation gives 9 meV per atom.

abc: 6.3585 4.0876 4.0876
angles: 120.00 90.00 90.00
With the nearest neighbours (Å) after each atom.
Element x y z (fractional)
Pr 0.7548 0.6667 0.3333  3 Rh 2.86
Rh 0.0080 0.0000 0.0000  3 Gd 2.77, 3 Pr 2.86
Gd 0.2372 0.3333 0.6667  3 Rh 2.77

Record 2
TaTcGe2: relaxed, PBE.

Computed properties:
The value obtained for the density is 11.3 g cm⁻³. As for the space-group type: Fm-3m (225). Its calculated volume is 63 Å³ per cell. For the final energy, the calculation gives -31.27 eV for the cell shown. Its crystal system is cubic. For the energy above the most stable polymorph in this dataset, the calculation gives 0 meV per atom.

abc: 4.4549 4.4549 4.4549
angles: 60.00 60.00 60.00
With the nearest neighbours (Å) after each atom.
Element x y z (fractional)
Ge 0.7500 0.7500 0.7500  4 Ta 2.73, 4 Tc 2.73
Ge 0.2500 0.2500 0.2500  4 Ta 2.73, 4 Tc 2.73
Ta 0.5000 0.5000 0.5000  8 Ge 2.73
Tc 0.0000 0.0000 0.0000  8 Ge 2.73

Record 3
As2PdWBr: relaxed, PBE.

Computed properties:
The value obtained for the density is 7.1 g cm⁻³. As for the space-group type: P4/mmm (123). Its calculated volume is 122 Å³ per cell. For the final energy, the calculation gives -25.51 eV for the cell shown. Its crystal system is tetragonal. For the energy above the most stable polymorph in this dataset, the calculation gives 0 meV per atom.

abc: 4.8470 4.8470 5.1892
angles: 90.00 90.00 90.00
With the nearest neighbours (Å) after each atom.
Element x y z (fractional)
Pd 0.5000 0.5000 0.5000  4 Br 3.43, 8 As 3.55
As 0.5000 0.0000 0.0000  2 W 2.42
Br 0.0000 0.0000 0.5000  2 W 2.59
As 0.0000 0.5000 0.0000  2 W 2.42
W 0.0000 0.0000 0.0000  4 As 2.42, 2 Br 2.59

Record 4
Pm12Sm3Zr: relaxed, PBE.

Computed properties:
The value obtained for the density is 7.1 g cm⁻³. As for the space-group type: P4/mmm (123). Its calculated volume is 533 Å³ per cell. For the final energy, the calculation gives -79.03 eV for the cell shown. Its crystal system is tetragonal.

abc: 5.1108 5.1108 20.4174
angles: 90.00 90.00 90.00
With the nearest neighbours (Å) after each atom.
Element x y z (fractional)
Pm 0.5000 0.5000 0.7538  4 Sm 3.61, 8 Pm 3.63-3.67
Sm 0.0000 0.0000 0.2465  12 Pm 3.61-3.67
Pm 0.0000 0.5000 0.3728  8 Pm 3.61-3.64, 4 Sm 3.63-3.64
Pm 0.5000 0.0000 0.3728  8 Pm 3.61-3.64, 4 Sm 3.63-3.64
Pm 0.5000 0.0000 0.8826  2 Zr 3.50, 8 Pm 3.50-3.67, 2 Sm 3.67
Zr 0.0000 0.0000 0.0000  12 Pm 3.50-3.61
Pm 0.0000 0.5000 0.6272  8 Pm 3.61-3.64, 4 Sm 3.63-3.64
Pm 0.5000 0.5000 0.2462  4 Sm 3.61, 8 Pm 3.63-3.67
Pm 0.0000 0.5000 0.8826  2 Zr 3.50, 8 Pm 3.50-3.67, 2 Sm 3.67
Pm 0.0000 0.5000 0.1174  2 Zr 3.50, 8 Pm 3.50-3.67, 2 Sm 3.67
Sm 0.0000 0.0000 0.5000  12 Pm 3.61-3.64
Pm 0.5000 0.0000 0.1174  8 Pm 3.50-3.67, 2 Zr 3.50, 2 Sm 3.67
Sm 0.0000 0.0000 0.7535  12 Pm 3.61-3.67
Pm 0.5000 0.5000 0.0000  8 Pm 3.50, 4 Zr 3.61
Pm 0.5000 0.0000 0.6272  8 Pm 3.61-3.64, 4 Sm 3.63-3.64
Pm 0.5000 0.5000 0.5000  4 Sm 3.61, 8 Pm 3.64

Record 5
FeMo: relaxed, PBE.

Computed properties:
The value obtained for the density is 8.8 g cm⁻³. As for the space-group type: Fm-3m (225). Its calculated volume is 29 Å³ per cell. For the final energy, the calculation gives -17.71 eV for the cell shown. Its crystal system is cubic.

abc: 3.4327 3.4327 3.4327
angles: 60.00 60.00 60.00
With the nearest neighbours (Å) after each atom.
Element x y z (fractional)
Mo 0.5000 0.5000 0.5000  6 Fe 2.43
Fe 0.0000 0.0000 0.0000  6 Mo 2.43

Record 6
DyHoGeS: relaxed, PBE.

Computed properties:
The value obtained for the density is 7.7 g cm⁻³. As for the space-group type: R3m (160). Its calculated volume is 93 Å³ per cell. For the final energy, the calculation gives -23.72 eV for the cell shown. Its crystal system is trigonal.

abc: 4.0302 4.0302 7.0160
angles: 73.31 73.31 60.00
With the nearest neighbours (Å) after each atom.
Element x y z (fractional)
S 0.4445 0.4445 0.6664  3 Ho 2.85, 3 Dy 2.86
Ho 0.1943 0.1943 0.4172  3 Ge 2.85, 3 S 2.85
Ge 0.9437 0.9437 0.1689  3 Ho 2.85, 3 Dy 2.86
Dy 0.6939 0.6939 0.9183  3 Ge 2.86, 3 S 2.86